1.
Entry from Alexandria: a relaxed ZrScAu2 crystal (GGA-PBE).

POSCAR file:
```
ZrScAu2
1.0
0.000 3.422 3.422
3.422 0.000 3.422
3.422 3.422 0.000
Zr Sc Au
1 1 2
Cartesian
0.000 0.000 0.000
3.422 3.422 3.422
1.711 1.711 1.711
5.133 5.133 5.133
```

Energy relative to the lowest polymorph listed for this composition: 18 meV per atom
M_tot: 0.000 μB/atom
N(E_F): 1.25 states/eV/atom
Energy relative to the elements: -615 meV/atom
Symmetry: Fm-3m

---

2.
Entry from Alexandria: a relaxed Tl2Ga2Re crystal (GGA-PBE).

POSCAR file:
```
Tl2Ga2Re
1.0
-1.786 1.786 8.665
1.786 -1.786 8.665
1.786 1.786 -8.665
Tl Ga Re
2 2 1
Cartesian
0.000 0.000 1.584
0.000 0.000 15.745
1.786 0.000 4.332
0.000 1.786 4.332
0.000 0.000 8.665
```

Energy relative to the lowest polymorph listed for this composition: 0 meV per atom
M_tot: 0.270 μB/atom
N(E_F): 0.80 states/eV/atom
Energy relative to the elements: 859 meV/atom
Symmetry: I4/mmm

---

3.
Entry from Alexandria: a relaxed Pr8CoPd3I4 crystal (GGA-PBE).

POSCAR file:
```
Pr8CoPd3I4
1.0
4.258 2.459 8.159
-4.258 2.459 8.159
0.000 -4.917 8.159
Pr Co Pd I
8 1 3 4
Cartesian
0.000 0.000 5.630
-2.020 -1.166 13.757
0.000 -2.333 10.720
-2.020 1.166 10.720
2.020 -1.166 13.757
0.000 2.333 13.757
2.020 1.166 10.720
0.000 0.000 18.847
0.000 0.000 12.238
-4.258 0.000 12.238
-2.129 1.229 4.079
2.129 1.229 4.079
0.000 0.000 0.000
-2.129 -1.229 8.159
-2.129 1.229 16.317
0.000 2.459 8.159
```

M_tot: 0.000 μB/atom
N(E_F): 0.74 states/eV/atom
Uncorrected formation energy: -77.6 kJ/mol of atoms
Symmetry: R-3m

---

4.
Entry from Alexandria: a relaxed NaYTi crystal (GGA-PBE).

POSCAR file:
```
NaYTi
1.0
2.867 -5.700 0.000
2.867 5.700 0.000
0.000 0.000 4.726
Na Y Ti
2 2 2
Cartesian
2.867 4.919 3.544
2.867 -4.919 1.181
2.867 2.639 1.181
2.867 -2.639 3.544
2.867 0.512 3.544
2.867 -0.512 1.181
```

Energy relative to the lowest polymorph listed for this composition: 391 meV per atom
M_tot: 0.000 μB/atom
N(E_F): 1.55 states/eV/atom
Energy relative to the elements: 499 meV/atom
Symmetry: Cmcm

---

5.
Entry from Alexandria: a relaxed Hf5Zn4Re crystal (GGA-PBE).

POSCAR file:
```
Hf5Zn4Re
1.0
3.324 0.000 0.000
0.000 3.324 0.000
0.000 0.000 16.309
Hf Zn Re
5 4 1
Cartesian
0.000 0.000 0.000
0.000 0.000 3.276
0.000 0.000 6.596
0.000 0.000 9.714
0.000 0.000 13.033
1.662 1.662 1.627
1.662 1.662 4.900
1.662 1.662 11.410
1.662 1.662 14.682
1.662 1.662 8.155
```

M_tot: 0.000 μB/atom
N(E_F): 0.35 states/eV/atom
Energy relative to the elements: -268 meV/atom
Symmetry: P4/mmm

---

6.
Entry from Alexandria: a relaxed Tb5Pr3Y3 crystal (GGA-PBE).

POSCAR file:
```
Tb5Pr3Y3
1.0
9.666 0.000 0.000
-4.833 8.371 0.000
0.000 0.000 5.538
Tb Pr Y
5 3 3
Cartesian
-3.535 6.124 0.000
1.298 2.247 0.000
0.000 5.581 0.000
4.833 2.790 0.000
7.071 0.000 0.000
-1.755 3.039 0.000
3.509 0.000 0.000
3.078 5.332 0.000
-2.601 4.505 2.769
2.232 3.865 2.769
5.202 0.000 2.769
```

M_tot: 0.000 μB/atom
N(E_F): 1.55 states/eV/atom
Energy relative to the elements: 788 meV/atom
Symmetry: P-62m